(1)
# NdRh3C PBE-GGA relaxed
data_NdRh3C
_space_group_name_H-M_alt 'P 1'
_space_group_IT_number 1
_space_group_name_Hall 'P 1'
_cell_length_a 4.239
_cell_length_b 4.239
_cell_length_c 4.239
_cell_angle_alpha 90.00
_cell_angle_beta 90.00
_cell_angle_gamma 90.00
loop_
_atom_site_label
_atom_site_type_symbol
_atom_site_fract_x
_atom_site_fract_y
_atom_site_fract_z
Nd1 Nd 0.000 0.000 0.000
Rh1 Rh 0.000 0.500 0.500
Rh2 Rh 0.500 0.000 0.500
Rh3 Rh 0.500 0.500 0.000
C1 C 0.500 0.500 0.500
# Calculated volume = 76.2 Å³/f.u.
# Density of states at the Fermi level = 0.241 states/eV/atom
# Magnetization = 0.000 μB/atom
# ΔH_f (0 K) = -0.393 eV/atom
# Space group = Pm-3m, No. 221

(2)
# ScMn PBE-GGA relaxed
data_ScMn
_space_group_name_H-M_alt 'P 1'
_space_group_IT_number 1
_space_group_name_Hall 'P 1'
_cell_length_a 4.710
_cell_length_b 4.710
_cell_length_c 5.185
_cell_angle_alpha 90.00
_cell_angle_beta 90.00
_cell_angle_gamma 120.00
loop_
_atom_site_label
_atom_site_type_symbol
_atom_site_fract_x
_atom_site_fract_y
_atom_site_fract_z
Sc1 Sc 0.333 0.667 0.250
Sc2 Sc 0.667 0.333 0.750
Mn1 Mn 0.333 0.667 0.750
Mn2 Mn 0.667 0.333 0.250
# Calculated volume = 49.8 Å³/f.u.
# Density of states at the Fermi level = 1.638 states/eV/atom
# Magnetization = 1.398 μB/atom
# ΔH_f (0 K) = 1.089 eV/atom
# Space group = P6_3/mmc, No. 194

(3)
# KTmZn2F8 PBE-GGA relaxed
data_KTmZn2F8
_space_group_name_H-M_alt 'P 1'
_space_group_IT_number 1
_space_group_name_Hall 'P 1'
_cell_length_a 8.872
_cell_length_b 8.872
_cell_length_c 8.872
_cell_angle_alpha 34.38
_cell_angle_beta 34.38
_cell_angle_gamma 34.38
loop_
_atom_site_label
_atom_site_type_symbol
_atom_site_fract_x
_atom_site_fract_y
_atom_site_fract_z
K1 K 0.000 0.000 0.000
Tm1 Tm 0.500 0.500 0.500
Zn1 Zn 0.255 0.255 0.255
Zn2 Zn 0.745 0.745 0.745
F1 F 0.123 0.453 0.760
F2 F 0.240 0.547 0.877
F3 F 0.329 0.329 0.329
F4 F 0.453 0.760 0.123
F5 F 0.547 0.877 0.240
F6 F 0.671 0.671 0.671
F7 F 0.760 0.123 0.453
F8 F 0.877 0.240 0.547
# Calculated volume = 198.6 Å³/f.u.
# Density of states at the Fermi level = 0.000 states/eV/atom
# Magnetization = 0.000 μB/atom
# Final energy = -4.84 eV per atom
# Space group = R32, No. 155

(4)
# CsPt4Pb PBE-GGA relaxed
data_CsPt4Pb
_space_group_name_H-M_alt 'P 1'
_space_group_IT_number 1
_space_group_name_Hall 'P 1'
_cell_length_a 5.620
_cell_length_b 5.620
_cell_length_c 5.620
_cell_angle_alpha 60.00
_cell_angle_beta 60.00
_cell_angle_gamma 60.00
loop_
_atom_site_label
_atom_site_type_symbol
_atom_site_fract_x
_atom_site_fract_y
_atom_site_fract_z
Cs1 Cs 0.000 0.000 0.000
Pt1 Pt 0.376 0.376 0.376
Pt2 Pt 0.376 0.376 0.873
Pt3 Pt 0.376 0.873 0.376
Pt4 Pt 0.873 0.376 0.376
Pb1 Pb 0.750 0.750 0.750
# Calculated volume = 125.5 Å³/f.u.
# Density of states at the Fermi level = 0.519 states/eV/atom
# Magnetization = 0.000 μB/atom
# ΔH_f (0 K) = 0.020 eV/atom
# Space group = F-43m, No. 216

(5)
# LiTlV2 PBE-GGA relaxed
data_LiTlV2
_space_group_name_H-M_alt 'P 1'
_space_group_IT_number 1
_space_group_name_Hall 'P 1'
_cell_length_a 5.772
_cell_length_b 5.772
_cell_length_c 5.772
_cell_angle_alpha 100.34
_cell_angle_beta 100.34
_cell_angle_gamma 129.87
loop_
_atom_site_label
_atom_site_type_symbol
_atom_site_fract_x
_atom_site_fract_y
_atom_site_fract_z
Li1 Li 0.000 0.000 0.000
Li2 Li 0.750 0.250 0.500
Tl1 Tl 0.250 0.750 0.500
Tl2 Tl 0.500 0.500 0.000
V1 V 0.116 0.625 0.991
V2 V 0.375 0.366 0.491
V3 V 0.634 0.125 0.009
V4 V 0.875 0.884 0.509
# Calculated volume = 66.8 Å³/f.u.
# Density of states at the Fermi level = 0.902 states/eV/atom
# Magnetization = 0.000 μB/atom
# ΔH_f (0 K) = 0.794 eV/atom
# Space group = I-42d, No. 122

(6)
# MgPbBr2 PBE-GGA relaxed
data_MgPbBr2
_space_group_name_H-M_alt 'P 1'
_space_group_IT_number 1
_space_group_name_Hall 'P 1'
_cell_length_a 3.721
_cell_length_b 3.721
_cell_length_c 9.379
_cell_angle_alpha 90.00
_cell_angle_beta 90.00
_cell_angle_gamma 106.65
loop_
_atom_site_label
_atom_site_type_symbol
_atom_site_fract_x
_atom_site_fract_y
_atom_site_fract_z
Mg1 Mg 0.000 0.000 0.000
Pb1 Pb 0.500 0.500 0.267
Br1 Br 0.000 0.000 0.479
Br2 Br 0.500 0.500 0.847
# Calculated volume = 124.5 Å³/f.u.
# Density of states at the Fermi level = 0.319 states/eV/atom
# Magnetization = 0.000 μB/atom
# Final energy = -2.76 eV per atom
# Space group = Cmm2, No. 35